No. 1
Re3IrO | PBE-GGA | relaxed

Unit cell a=4.0644 b=4.0644 c=4.0644 alpha=90.00 beta=90.00 gamma=90.00
Closest atoms and distances in Å follow each position.
Atoms (fractional coordinates):
Re 0.0000 0.5000 0.0000  2 O 2.03
Re 0.0000 0.0000 0.5000  2 O 2.03
Re 0.5000 0.0000 0.0000  2 O 2.03
Ir 0.5000 0.5000 0.5000  12 Re 2.87
O 0.0000 0.0000 0.0000  6 Re 2.03

Calculated values
The total DFT energy (no corrections) comes out at -9.884 eV/atom. As for the energy above the most stable polymorph in this dataset: 0.00 eV/f.u. For the energy relative to the elements, uncorrected, the calculation gives 349 meV/atom. The calculation puts the density of states at the Fermi level at 3.1 states/eV per cell.



No. 2
ReIrO3 | PBE-GGA | relaxed

Unit cell a=3.9309 b=3.9309 c=3.9309 alpha=90.00 beta=90.00 gamma=90.00
Closest atoms and distances in Å follow each position.
Atoms (fractional coordinates):
Re 0.5000 0.5000 0.5000  12 O 2.78
Ir 0.0000 0.0000 0.0000  6 O 1.97
O 0.0000 0.5000 0.0000  2 Ir 1.97
O 0.0000 0.0000 0.5000  2 Ir 1.97
O 0.5000 0.0000 0.0000  2 Ir 1.97

Calculated values
The total DFT energy (no corrections) comes out at -6.555 eV/atom. For the energy relative to the elements, uncorrected, the calculation gives 682 meV/atom. The calculation puts the density of states at the Fermi level at 4.8 states/eV per cell.



No. 3
Re3IrO | PBE-GGA | relaxed

Unit cell a=4.7485 b=4.7485 c=4.7485 alpha=90.00 beta=90.00 gamma=90.00
Closest atoms and distances in Å follow each position.
Atoms (fractional coordinates):
Re 0.0000 0.5000 0.0000  2 Ir 2.37
Re 0.0000 0.0000 0.5000  2 Ir 2.37
Re 0.5000 0.0000 0.0000  2 Ir 2.37
Ir 0.0000 0.0000 0.0000  6 Re 2.37
O 0.5000 0.5000 0.5000  12 Re 3.36

Calculated values
The total DFT energy (no corrections) comes out at -7.428 eV/atom. As for the energy above the most stable polymorph in this dataset: 12.28 eV/f.u. For the energy relative to the elements, uncorrected, the calculation gives 2805 meV/atom. The calculation puts the density of states at the Fermi level at 5.1 states/eV per cell.



No. 4
ReIr3O | PBE-GGA | relaxed

Unit cell a=4.7408 b=4.7408 c=4.7408 alpha=90.00 beta=90.00 gamma=90.00
Closest atoms and distances in Å follow each position.
Atoms (fractional coordinates):
Re 0.0000 0.0000 0.0000  6 Ir 2.37
Ir 0.0000 0.5000 0.0000  2 Re 2.37
Ir 0.0000 0.0000 0.5000  2 Re 2.37
Ir 0.5000 0.0000 0.0000  2 Re 2.37
O 0.5000 0.5000 0.5000  12 Ir 3.35

Calculated values
The total DFT energy (no corrections) comes out at -6.528 eV/atom. As for the energy above the most stable polymorph in this dataset: 6.26 eV/f.u. For the energy relative to the elements, uncorrected, the calculation gives 2270 meV/atom. The calculation puts the density of states at the Fermi level at 5.0 states/eV per cell.



No. 5
ReIr3O | PBE-GGA | relaxed

Unit cell a=4.1181 b=4.1181 c=4.1181 alpha=90.00 beta=90.00 gamma=90.00
Closest atoms and distances in Å follow each position.
Atoms (fractional coordinates):
Re 0.5000 0.5000 0.5000  12 Ir 2.91
Ir 0.0000 0.5000 0.0000  2 O 2.06
Ir 0.0000 0.0000 0.5000  2 O 2.06
Ir 0.5000 0.0000 0.0000  2 O 2.06
O 0.0000 0.0000 0.0000  6 Ir 2.06

Calculated values
The total DFT energy (no corrections) comes out at -7.780 eV/atom. As for the energy above the most stable polymorph in this dataset: 0.00 eV/f.u. For the energy relative to the elements, uncorrected, the calculation gives 1018 meV/atom. The calculation puts the density of states at the Fermi level at 8.4 states/eV per cell.



No. 6
ReIr2O | PBE-GGA | relaxed

Unit cell a=5.7271 b=5.7271 c=5.6913 alpha=59.79 beta=59.79 gamma=90.00
Closest atoms and distances in Å follow each position.
Atoms (fractional coordinates):
Re 0.0000 0.0000 0.0000  4 Ir 2.40
Re 0.7500 0.2500 0.5000  4 Ir 2.40
Ir 0.5882 0.1250 0.2500  2 O 2.13
Ir 0.1618 0.6250 0.2500  2 O 2.13
Ir 0.3750 0.4118 0.7500  2 O 2.13
Ir 0.8750 0.8382 0.7500  2 O 2.13
O 0.5000 0.5000 0.0000  4 Ir 2.13
O 0.2500 0.7500 0.5000  4 Ir 2.13

Calculated values
The total DFT energy (no corrections) comes out at -8.195 eV/atom. For the energy relative to the elements, uncorrected, the calculation gives 587 meV/atom. The calculation puts the density of states at the Fermi level at 11.4 states/eV per cell.



No. 7
ReIrO2 | PBE-GGA | relaxed

Unit cell a=4.6965 b=4.6965 c=5.8091 alpha=66.16 beta=66.16 gamma=90.00
Closest atoms and distances in Å follow each position.
Atoms (fractional coordinates):
Re 0.5000 0.5000 0.0000  4 O 1.97
Re 0.2500 0.7500 0.5000  4 O 1.97
Ir 0.0000 0.0000 0.0000  4 O 2.13
Ir 0.7500 0.2500 0.5000  4 O 2.13
O 0.5950 0.1250 0.2500  2 Re 1.97, 2 Ir 2.13
O 0.1550 0.6250 0.2500  2 Re 1.97, 2 Ir 2.13
O 0.3750 0.4050 0.7500  2 Re 1.97, 2 Ir 2.13
O 0.8750 0.8450 0.7500  2 Re 1.97, 2 Ir 2.13

Calculated values
The total DFT energy (no corrections) comes out at -7.489 eV/atom. As for the energy above the most stable polymorph in this dataset: 3.69 eV/f.u. For the energy relative to the elements, uncorrected, the calculation gives 318 meV/atom. The calculation puts the density of states at the Fermi level at 2.0 states/eV per cell.



No. 8
ReIrO2 | PBE-GGA | relaxed

Unit cell a=3.9620 b=3.9620 c=3.9620 alpha=60.00 beta=60.00 gamma=60.00
Closest atoms and distances in Å follow each position.
Atoms (fractional coordinates):
Re 0.0000 0.0000 0.0000  8 O 2.43
Ir 0.5000 0.5000 0.5000  8 O 2.43
O 0.2500 0.2500 0.2500  4 Re 2.43, 4 Ir 2.43
O 0.7500 0.7500 0.7500  4 Re 2.43, 4 Ir 2.43

Calculated values
The total DFT energy (no corrections) comes out at -7.000 eV/atom. As for the energy above the most stable polymorph in this dataset: 5.64 eV/f.u. For the energy relative to the elements, uncorrected, the calculation gives 806 meV/atom. The calculation puts the density of states at the Fermi level at 5.0 states/eV per cell.